DFT (GGA+U) results for crystalline MgVGe2O6 at its relaxed geometry.

```
MgVGe2O6
1.0
4.900 -4.613 0.000
4.900 4.613 0.000
-0.961 0.000 5.175
Mg V Ge O
2 2 4 12
Direct
0.228 0.772 0.750 Mg
0.772 0.228 0.250 Mg
0.407 0.593 0.250 V
0.593 0.407 0.750 V
0.105 0.292 0.789 Ge
0.292 0.105 0.289 Ge
0.708 0.895 0.711 Ge
0.895 0.708 0.211 Ge
0.071 0.210 0.100 O
0.122 0.648 0.385 O
0.210 0.071 0.600 O
0.286 0.477 0.861 O
0.352 0.878 0.115 O
0.477 0.286 0.361 O
0.523 0.714 0.639 O
0.648 0.122 0.885 O
0.714 0.523 0.139 O
0.790 0.929 0.400 O
0.878 0.352 0.615 O
0.929 0.790 0.900 O
```

As for the density: 4.5 g/cm3. As for the total energy: -6.7240 eV/atom.